# 1
## PuSc2Pd9 (PBE)

Data for a geometry-optimized PuSc2Pd9 structure.

Computed properties:
* DFT formation energy: -0.74 eV per atom
* space group: P4/mmm, No. 123
* crystal system: tetragonal
* calculated total energy: -6.886 eV/atom

abc: 4.0558 4.0558 12.1542
angles: 90.00 90.00 90.00
Closest atoms and distances in Å follow each position.
Atoms (fractional coordinates):
Pu  0.0000  0.0000  0.0000  12 Pd 2.87-2.92
Sc  0.0000  0.0000  0.3391  12 Pd 2.82-2.87
Sc  0.0000  0.0000  0.6609  12 Pd 2.82-2.87
Pd  0.5000  0.5000  0.0000  4 Pu 2.87, 8 Pd 2.92
Pd  0.5000  0.5000  0.3371  8 Pd 2.83-2.84, 4 Sc 2.87
Pd  0.5000  0.5000  0.6629  8 Pd 2.83-2.84, 4 Sc 2.87
Pd  0.5000  0.0000  0.1731  8 Pd 2.84-2.92, 2 Sc 2.86, 2 Pu 2.92
Pd  0.5000  0.0000  0.5000  4 Sc 2.82, 8 Pd 2.83-2.87
Pd  0.5000  0.0000  0.8269  8 Pd 2.84-2.92, 2 Sc 2.86, 2 Pu 2.92
Pd  0.0000  0.5000  0.1731  8 Pd 2.84-2.92, 2 Sc 2.86, 2 Pu 2.92
Pd  0.0000  0.5000  0.5000  4 Sc 2.82, 8 Pd 2.83-2.87
Pd  0.0000  0.5000  0.8269  8 Pd 2.84-2.92, 2 Sc 2.86, 2 Pu 2.92

=====

# 2
## BAsSeBr2 (PBE)

Data for a geometry-optimized BAsSeBr2 structure.

Computed properties:
* energy relative to the elements, uncorrected: 0.996 eV per atom
* space group: P4/mmm, No. 123
* crystal system: tetragonal
* calculated total energy: -2.635 eV/atom

abc: 5.2915 5.2915 5.0975
angles: 90.00 90.00 90.00
Closest atoms and distances in Å follow each position.
Atoms (fractional coordinates):
As  0.0000  0.0000  0.0000  2 Se 2.55, 4 Br 2.65
B  0.5000  0.5000  0.5000  8 Br 3.67, 4 Se 3.74
Se  0.0000  0.0000  0.5000  2 As 2.55
Br  0.0000  0.5000  0.0000  2 As 2.65
Br  0.5000  0.0000  0.0000  2 As 2.65

=====

# 3
## Tb2SbSe (PBE)

Data for a geometry-optimized Tb2SbSe structure.

Computed properties:
* energy relative to the elements, uncorrected: -1.466 eV per atom
* space group: Pmmn, No. 59
* crystal system: orthorhombic
* calculated total energy: -5.683 eV/atom

abc: 4.2480 6.0404 8.5122
angles: 90.00 90.00 90.00
Closest atoms and distances in Å follow each position.
Atoms (fractional coordinates):
Tb  0.0000  0.0000  0.8659  2 Se 2.97, 4 Sb 3.02-3.07
Tb  0.0000  0.0000  0.3828  4 Se 2.94-3.02, 2 Sb 3.04
Tb  0.5000  0.5000  0.6172  4 Se 2.94-3.02, 2 Sb 3.04
Tb  0.5000  0.5000  0.1341  2 Se 2.97, 4 Sb 3.02-3.07
Sb  0.0000  0.5000  0.8734  6 Tb 3.02-3.07
Sb  0.5000  0.0000  0.1266  6 Tb 3.02-3.07
Se  0.5000  0.0000  0.6221  6 Tb 2.94-3.02
Se  0.0000  0.5000  0.3779  6 Tb 2.94-3.02

=====

# 4
## Y4TmCu5 (PBE)

Data for a geometry-optimized Y4TmCu5 structure.

Computed properties:
* DFT formation energy: -0.26 eV per atom
* space group: P4/mmm, No. 123
* crystal system: tetragonal
* calculated total energy: -5.336 eV/atom

abc: 3.4506 3.4506 17.5295
angles: 90.00 90.00 90.00
Closest atoms and distances in Å follow each position.
Atoms (fractional coordinates):
Y  0.0000  0.0000  0.1980  8 Cu 3.01-3.03
Y  0.0000  0.0000  0.3994  8 Cu 3.01
Y  0.0000  0.0000  0.6006  8 Cu 3.01
Y  0.0000  0.0000  0.8020  8 Cu 3.01-3.03
Tm  0.0000  0.0000  0.0000  8 Cu 2.96
Cu  0.5000  0.5000  0.0954  4 Tm 2.96, 4 Y 3.03
Cu  0.5000  0.5000  0.2991  8 Y 3.01
Cu  0.5000  0.5000  0.5000  8 Y 3.01
Cu  0.5000  0.5000  0.7009  8 Y 3.01
Cu  0.5000  0.5000  0.9046  4 Tm 2.96, 4 Y 3.03

=====

# 5
## NaV2Ni2 (PBE)

Data for a geometry-optimized NaV2Ni2 structure.

Computed properties:
* DFT formation energy: 0.20 eV per atom
* space group: P4/mbm, No. 127
* crystal system: tetragonal
* calculated total energy: -6.019 eV/atom

abc: 7.4511 7.4511 2.5168
angles: 90.00 90.00 90.00
Closest atoms and distances in Å follow each position.
Atoms (fractional coordinates):
Ni  0.3639  0.8639  0.0000  6 V 2.50-2.55, 2 Ni 2.52
Ni  0.8639  0.6361  0.0000  6 V 2.50-2.55, 2 Ni 2.52
Ni  0.6361  0.1361  0.0000  6 V 2.50-2.55, 2 Ni 2.52
Ni  0.1361  0.3639  0.0000  6 V 2.50-2.55, 2 Ni 2.52
V  0.1537  0.6537  0.5000  6 Ni 2.50-2.55, 2 V 2.52
V  0.6537  0.8463  0.5000  6 Ni 2.50-2.55, 2 V 2.52
V  0.8463  0.3463  0.5000  6 Ni 2.50-2.55, 2 V 2.52
V  0.3463  0.1537  0.5000  6 Ni 2.50-2.55, 2 V 2.52
Na  0.0000  0.0000  0.0000  2 Na 2.52
Na  0.5000  0.5000  0.0000  2 Na 2.52

=====

# 6
## AcPr3Dy6 (PBE)

Data for a geometry-optimized AcPr3Dy6 structure.

Computed properties:
* DFT formation energy: 0.23 eV per atom
* space group: C2/m, No. 12
* crystal system: monoclinic
* calculated total energy: -4.374 eV/atom

abc: 6.6337 9.9919 9.7846
angles: 140.46 109.81 90.00
Closest atoms and distances in Å follow each position.
Atoms (fractional coordinates):
Ac  0.5000  0.5000  0.0000  4 Dy 3.43, 2 Pr 3.46
Pr  0.5698  0.9440  0.1397  4 Dy 3.31-3.38, 1 Ac 3.46, 1 Pr 3.55
Pr  0.4302  0.0560  0.8603  4 Dy 3.31-3.38, 1 Ac 3.46, 1 Pr 3.55
Pr  0.0000  0.0000  0.0000  10 Dy 3.72-3.79, 4 Pr 3.76
Dy  0.4321  0.5563  0.3729  3 Dy 3.26-3.37, 2 Pr 3.31-3.38, 1 Ac 3.43
Dy  0.0592  0.4437  0.6271  3 Dy 3.26-3.38, 2 Pr 3.31-3.38, 1 Ac 3.43
Dy  0.5679  0.4437  0.6271  3 Dy 3.26-3.38, 2 Pr 3.31-3.38, 1 Ac 3.43
Dy  0.9408  0.5563  0.3729  3 Dy 3.26-3.37, 2 Pr 3.31-3.38, 1 Ac 3.43
Dy  0.1365  0.8553  0.2730  4 Pr 3.79-3.94, 9 Dy 3.85-4.14, 3 Ac 3.91-3.95
Dy  0.8635  0.1447  0.7270  4 Pr 3.79-3.94, 9 Dy 3.85-4.14, 3 Ac 3.91-3.95

=====

# 7
## VMoW14 (PBE)

Data for a geometry-optimized VMoW14 structure.

Computed properties:
* DFT formation energy: -0.03 eV per atom
* space group: Cmmm, No. 65
* crystal system: orthorhombic
* calculated total energy: -12.613 eV/atom

abc: 5.4957 5.4957 8.9842
angles: 90.00 90.00 109.19
Closest atoms and distances in Å follow each position.
Atoms (fractional coordinates):
V  0.1250  0.8750  0.5000  8 W 2.73-2.75
Mo  0.6250  0.3750  0.5000  8 W 2.74-2.75
W  0.1250  0.8750  0.0000  8 W 2.75-2.76
W  0.6250  0.3750  0.0000  8 W 2.75-2.77
W  0.1250  0.3750  0.5000  4 W 2.74, 2 V 2.75, 2 Mo 2.75
W  0.1250  0.3750  0.0000  8 W 2.75-2.76
W  0.6250  0.8750  0.5000  4 W 2.74, 2 V 2.75, 2 Mo 2.75
W  0.6250  0.8750  0.0000  8 W 2.75-2.76
W  0.3736  0.1237  0.7479  1 V 2.73, 6 W 2.74-2.77, 1 Mo 2.74
W  0.3736  0.1237  0.2521  1 V 2.73, 6 W 2.74-2.77, 1 Mo 2.74
W  0.8763  0.6264  0.7479  1 V 2.73, 6 W 2.74-2.77, 1 Mo 2.74
W  0.8763  0.6264  0.2521  1 V 2.73, 6 W 2.74-2.77, 1 Mo 2.74
W  0.3743  0.6257  0.7487  8 W 2.74-2.76
W  0.3743  0.6257  0.2513  8 W 2.74-2.76
W  0.8757  0.1243  0.7487  8 W 2.74-2.76
W  0.8757  0.1243  0.2513  8 W 2.74-2.76

=====

# 8
## MgBOs2Pd (PBE)

Data for a geometry-optimized MgBOs2Pd structure.

Computed properties:
* DFT formation energy: 2.76 eV per atom
* space group: P4/mmm, No. 123
* crystal system: tetragonal
* calculated total energy: -4.424 eV/atom

abc: 4.5458 4.3416 4.5458
angles: 90.00 90.00 90.00
Closest atoms and distances in Å follow each position.
Atoms (fractional coordinates):
Mg  0.0000  0.0000  0.0000  2 Pd 2.17, 4 Os 2.27
B  0.5000  0.5000  0.5000  8 Os 3.14, 4 Pd 3.21
Os  0.0000  0.0000  0.5000  2 Mg 2.27
Os  0.5000  0.0000  0.0000  2 Mg 2.27
Pd  0.0000  0.5000  0.0000  2 Mg 2.17

=====

# 9
## Hf2SnGe2 (PBE)

Data for a geometry-optimized Hf2SnGe2 structure.

Computed properties:
* DFT formation energy: -0.31 eV per atom
* space group: I4/mmm, No. 139
* crystal system: tetragonal
* calculated total energy: -6.934 eV/atom

abc: 3.7089 3.7089 7.9464
angles: 76.50 76.50 90.00
Closest atoms and distances in Å follow each position.
Atoms (fractional coordinates):
Ge  0.7500  0.2500  0.5000  4 Ge 2.62, 4 Hf 2.82
Ge  0.2500  0.7500  0.5000  4 Ge 2.62, 4 Hf 2.82
Hf  0.3919  0.3919  0.2163  4 Ge 2.82, 4 Sn 3.08
Hf  0.6081  0.6081  0.7837  4 Ge 2.82, 4 Sn 3.08
Sn  0.0000  0.0000  0.0000  8 Hf 3.08

=====

# 10
## BeSeBr2 (PBE)

Data for a geometry-optimized BeSeBr2 structure.

Computed properties:
* energy relative to the elements, uncorrected: 0.826 eV per atom
* space group: P4/mmm, No. 123
* crystal system: tetragonal
* calculated total energy: -1.813 eV/atom

abc: 4.9148 4.9149 3.5248
angles: 90.00 90.00 90.02
Closest atoms and distances in Å follow each position.
Atoms (fractional coordinates):
Be  0.0000  0.5000  0.5000  8 Br 3.02
Se  0.5000  0.0000  0.5000  8 Br 3.02
Br  0.0000  0.0000  0.0000  4 Se 3.02, 4 Be 3.02
Br  0.5000  0.5000  0.0000  4 Be 3.02, 4 Se 3.02

=====

# 11
## LaThS3 (PBE)

Data for a geometry-optimized LaThS3 structure.

Computed properties:
* energy relative to the elements, uncorrected: -1.864 eV per atom
* space group: C2/m, No. 12
* crystal system: monoclinic
* calculated total energy: -6.810 eV/atom

abc: 4.8216 8.0230 8.1163
angles: 97.00 90.00 107.49
Closest atoms and distances in Å follow each position.
Atoms (fractional coordinates):
La  0.3661  0.7322  0.6257  6 S 2.87-2.98
La  0.6339  0.2678  0.3743  6 S 2.87-2.98
Th  0.1255  0.2510  0.8968  6 S 2.75-2.95
Th  0.8745  0.7490  0.1032  6 S 2.75-2.95
S  0.9468  0.8936  0.7948  2 Th 2.75-2.86, 2 La 2.96
S  0.0532  0.1064  0.2052  2 Th 2.75-2.86, 2 La 2.96
S  0.6803  0.3607  0.0353  3 Th 2.75-2.95, 1 La 2.93
S  0.3197  0.6393  0.9647  3 Th 2.75-2.95, 1 La 2.93
S  0.8231  0.6462  0.4160  1 Th 2.75, 3 La 2.87-2.98
S  0.1769  0.3538  0.5840  1 Th 2.75, 3 La 2.87-2.98

=====

# 12
## BaSc2TaGe (PBE)

Data for a geometry-optimized BaSc2TaGe structure.

Computed properties:
* DFT formation energy: 0.27 eV per atom
* space group: P4/mmm, No. 123
* crystal system: tetragonal
* calculated total energy: -5.936 eV/atom

abc: 5.2499 5.2396 5.2499
angles: 90.00 90.00 90.00
Closest atoms and distances in Å follow each position.
Atoms (fractional coordinates):
Sc  0.0000  0.0000  0.5000  2 Ta 2.62
Sc  0.5000  0.0000  0.0000  2 Ta 2.62
Ge  0.0000  0.5000  0.0000  2 Ta 2.62
Ba  0.5000  0.5000  0.5000  8 Sc 3.71, 4 Ge 3.71
Ta  0.0000  0.0000  0.0000  2 Ge 2.62, 4 Sc 2.62